This record from the Alexandria database describes a crystal of LiZn2Co relaxed with PBEsol. The functional is meta-GGA SCAN.

CIF file:
```
data_LiZn2Co
_chemical_formula_sum 'Li1 Zn2 Co1'
_cell_length_a 4.0656
_cell_length_b 4.0656
_cell_length_c 4.0656
_cell_angle_alpha 60.00
_cell_angle_beta 60.00
_cell_angle_gamma 60.00
_symmetry_space_group_name_H-M 'P 1'
_symmetry_Int_Tables_number 1
loop_
_symmetry_equiv_pos_as_xyz
'x,y,z'
loop_
_atom_site_label
_atom_site_type_symbol
_atom_site_fract_x
_atom_site_fract_y
_atom_site_fract_z
Li1 Li 0.0000 0.0000 0.0000
Zn1 Zn 0.2500 0.2500 0.2500
Zn2 Zn 0.5000 0.5000 0.5000
Co1 Co 0.7500 0.7500 0.7500
```

calculated formation energy = -4.0 kJ per mole of atoms
final energy = -0.862 Ry per atom
crystal system = cubic


This record from the Alexandria database describes a crystal of LiZn2Co relaxed with PBEsol. The functional is meta-GGA SCAN.

CIF file:
```
data_LiZn2Co
_chemical_formula_sum 'Li1 Zn2 Co1'
_cell_length_a 2.5396
_cell_length_b 3.6276
_cell_length_c 5.3509
_cell_angle_alpha 90.00
_cell_angle_beta 90.00
_cell_angle_gamma 90.00
_symmetry_space_group_name_H-M 'P 1'
_symmetry_Int_Tables_number 1
loop_
_symmetry_equiv_pos_as_xyz
'x,y,z'
loop_
_atom_site_label
_atom_site_type_symbol
_atom_site_fract_x
_atom_site_fract_y
_atom_site_fract_z
Li1 Li 0.0000 0.0000 0.0000
Zn1 Zn 0.5000 0.5000 0.2652
Zn2 Zn 0.5000 0.5000 0.7348
Co1 Co 0.0000 0.0000 0.5000
```

calculated formation energy = -6.6 kJ per mole of atoms
final energy = -0.864 Ry per atom
crystal system = orthorhombic


This record from the Alexandria database describes a crystal of LiZn2Co relaxed with PBEsol. The functional is meta-GGA SCAN.

CIF file:
```
data_LiZn2Co
_chemical_formula_sum 'Li1 Zn2 Co1'
_cell_length_a 4.0974
_cell_length_b 4.0974
_cell_length_c 2.8129
_cell_angle_alpha 90.00
_cell_angle_beta 90.00
_cell_angle_gamma 90.20
_symmetry_space_group_name_H-M 'P 1'
_symmetry_Int_Tables_number 1
loop_
_symmetry_equiv_pos_as_xyz
'x,y,z'
loop_
_atom_site_label
_atom_site_type_symbol
_atom_site_fract_x
_atom_site_fract_y
_atom_site_fract_z
Li1 Li 0.0000 0.0000 0.0000
Zn1 Zn 0.0000 0.5000 0.5000
Zn2 Zn 0.5000 0.0000 0.5000
Co1 Co 0.5000 0.5000 0.0000
```

calculated formation energy = -6.7 kJ per mole of atoms
final energy = -0.864 Ry per atom
crystal system = orthorhombic


Repeat the second record exactly.
This record from the Alexandria database describes a crystal of LiZn2Co relaxed with PBEsol. The functional is meta-GGA SCAN.

CIF file:
```
data_LiZn2Co
_chemical_formula_sum 'Li1 Zn2 Co1'
_cell_length_a 2.5396
_cell_length_b 3.6276
_cell_length_c 5.3509
_cell_angle_alpha 90.00
_cell_angle_beta 90.00
_cell_angle_gamma 90.00
_symmetry_space_group_name_H-M 'P 1'
_symmetry_Int_Tables_number 1
loop_
_symmetry_equiv_pos_as_xyz
'x,y,z'
loop_
_atom_site_label
_atom_site_type_symbol
_atom_site_fract_x
_atom_site_fract_y
_atom_site_fract_z
Li1 Li 0.0000 0.0000 0.0000
Zn1 Zn 0.5000 0.5000 0.2652
Zn2 Zn 0.5000 0.5000 0.7348
Co1 Co 0.0000 0.0000 0.5000
```

calculated formation energy = -6.6 kJ per mole of atoms
final energy = -0.864 Ry per atom
crystal system = orthorhombic


Which value of final energy does entry 1 give?
-0.862 Ry per atom


Copy entry 2 word for word.
This record from the Alexandria database describes a crystal of LiZn2Co relaxed with PBEsol. The functional is meta-GGA SCAN.

CIF file:
```
data_LiZn2Co
_chemical_formula_sum 'Li1 Zn2 Co1'
_cell_length_a 2.5396
_cell_length_b 3.6276
_cell_length_c 5.3509
_cell_angle_alpha 90.00
_cell_angle_beta 90.00
_cell_angle_gamma 90.00
_symmetry_space_group_name_H-M 'P 1'
_symmetry_Int_Tables_number 1
loop_
_symmetry_equiv_pos_as_xyz
'x,y,z'
loop_
_atom_site_label
_atom_site_type_symbol
_atom_site_fract_x
_atom_site_fract_y
_atom_site_fract_z
Li1 Li 0.0000 0.0000 0.0000
Zn1 Zn 0.5000 0.5000 0.2652
Zn2 Zn 0.5000 0.5000 0.7348
Co1 Co 0.0000 0.0000 0.5000
```

calculated formation energy = -6.6 kJ per mole of atoms
final energy = -0.864 Ry per atom
crystal system = orthorhombic


calculated formation energy of number 3 (LiZn2Co)?
-6.7 kJ per mole of atoms